1.
Below is a crystal of ScAgB2Pd relaxed with PBEsol, with properties calculated at the SCAN level.

Output
Formation energy, eV/atom: 1.798
Space-group type: P4/mmm
Crystal system: tetragonal

The structure in POSCAR format:
```
ScAgB2Pd
1.0
4.2227 0.0000 0.0000
0.0000 4.2227 0.0000
0.0000 0.0000 4.8890
B Pd Sc Ag
2 1 1 1
direct
0.0000 0.5000 0.0000
0.5000 0.0000 0.0000
0.5000 0.5000 0.5000
0.0000 0.0000 0.0000
0.0000 0.0000 0.5000
```

2.
Below is a crystal of BaRe2Si relaxed with PBEsol, with properties calculated at the SCAN level.

Output
Space-group type: Cmmm
Crystal system: orthorhombic

The structure in POSCAR format:
```
BaRe2Si
1.0
2.9301 0.0012 0.0000
-1.0934 2.7184 0.0000
0.0000 0.0000 9.0799
Si Ba Re
1 1 2
direct
0.5000 0.5000 0.5000
0.5000 0.5000 0.0000
0.0000 0.0000 0.6929
0.0000 0.0000 0.3071
```

3.
Below is a crystal of AgIrOs2 relaxed with PBEsol, with properties calculated at the SCAN level.

Output
Formation energy, eV/atom: 0.466
Space-group type: Pmm2
Crystal system: orthorhombic
E above lowest polymorph, eV per atom: 0.000

The structure in POSCAR format:
```
AgIrOs2
1.0
2.7285 0.0000 0.0000
0.0000 3.8376 0.0000
0.0000 0.0000 5.5326
Os Ir Ag
2 1 1
direct
0.5000 0.5000 0.2321
0.0000 0.0000 0.0093
0.5000 0.5000 0.7573
0.0000 0.0000 0.5014
```

4.
Below is a crystal of RbCu3O relaxed with PBEsol, with properties calculated at the SCAN level.

Output
Space-group type: Pm-3m
Crystal system: cubic

The structure in POSCAR format:
```
RbCu3O
1.0
-3.7020 -2.3947 2.4142
3.3913 -2.8621 2.3613
0.2497 3.3678 3.7234
Rb Cu O
1 3 1
direct
0.0000 0.0000 0.0000
0.5000 0.0000 0.0000
0.0000 0.5000 0.0000
0.0000 0.0000 0.5000
0.5000 0.5000 0.5000
```

5.
Below is a crystal of LiScF4 relaxed with PBEsol, with properties calculated at the SCAN level.

Output
Space-group type: I4_1/a
Crystal system: tetragonal

The structure in POSCAR format:
```
LiScF4
1.0
-1.7855 3.6415 2.8838
1.9942 -2.1893 3.9993
4.1139 1.8787 -4.1190
F Li Sc
8 2 2
direct
0.0959 0.2083 0.8393
0.1541 0.5417 0.6607
0.7434 0.6309 0.8393
0.4583 0.4934 0.3393
0.7917 0.2566 0.1607
0.5066 0.1191 0.6607
0.8809 0.8459 0.3393
0.3691 0.9041 0.1607
0.0000 0.0000 0.0000
0.2500 0.7500 0.5000
0.5000 0.5000 0.0000
0.7500 0.2500 0.5000
```

6.
Below is a crystal of LiLu2Al relaxed with PBEsol, with properties calculated at the SCAN level.

Output
Formation energy, eV/atom: -0.197
Space-group type: Fm-3m
Crystal system: cubic

The structure in POSCAR format:
```
LiLu2Al
1.0
4.9827 0.0000 0.0000
2.4913 4.3151 0.0000
2.4913 1.4384 4.0684
Lu Al Li
2 1 1
direct
0.2500 0.2500 0.2500
0.7500 0.7500 0.7500
0.0000 0.0000 0.0000
0.5000 0.5000 0.5000
```

7.
Below is a crystal of Ca2HgOF relaxed with PBEsol, with properties calculated at the SCAN level.

Output
Space-group type: P4/mmm
Crystal system: tetragonal

The structure in POSCAR format:
```
Ca2HgOF
1.0
-2.8231 2.3128 2.5238
0.3605 -3.0523 3.2003
4.0015 2.6344 2.0618
Hg F O Ca
1 1 1 2
direct
0.5000 0.5000 0.5000
0.0000 0.0000 0.5000
0.0000 0.0000 0.0000
0.5000 0.0000 0.0000
0.0000 0.5000 0.0000
```

8.
Below is a crystal of Sr2TaAsBr relaxed with PBEsol, with properties calculated at the SCAN level.

Output
Space-group type: P4/mmm
Crystal system: tetragonal

The structure in POSCAR format:
```
Sr2TaAsBr
1.0
4.7260 0.0000 0.0000
0.0000 5.9900 0.0000
0.0000 0.0000 5.9900
Ta Sr Br As
1 2 1 1
direct
0.0000 0.0000 0.0000
0.0000 0.5000 0.0000
0.0000 0.0000 0.5000
0.5000 0.0000 0.0000
0.5000 0.5000 0.5000
```

9.
Below is a crystal of CaMnIr relaxed with PBEsol, with properties calculated at the SCAN level.

Output
Formation energy, eV/atom: -0.240
Space-group type: Imm2
Crystal system: orthorhombic
E above lowest polymorph, eV per atom: 0.000

The structure in POSCAR format:
```
CaMnIr
1.0
3.0901 0.0000 0.0000
0.0000 3.5096 0.0000
-1.5450 -1.7548 5.1775
Ca Mn Ir
1 1 1
direct
0.0055 0.0055 0.0109
0.2904 0.2904 0.5808
0.7042 0.7042 0.4083
```

10.
Below is a crystal of Ti6Co16Si7 relaxed with PBEsol, with properties calculated at the SCAN level.

Output
Space-group type: Fm-3m
Crystal system: cubic

The structure in POSCAR format:
```
Ti6Co16Si7
1.0
7.7582 0.0000 0.0000
3.8791 6.7188 0.0000
3.8791 2.2396 6.3346
Co Si Ti
16 7 6
direct
0.1670 0.1670 0.1670
0.3806 0.8581 0.3806
0.1419 0.6194 0.6194
0.8330 0.5011 0.8330
0.3806 0.3806 0.8581
0.1670 0.4989 0.1670
0.6194 0.6194 0.6194
0.5011 0.8330 0.8330
0.6194 0.6194 0.1419
0.8581 0.3806 0.3806
0.8330 0.8330 0.8330
0.6194 0.1419 0.6194
0.3806 0.3806 0.3806
0.8330 0.8330 0.5011
0.1670 0.1670 0.4989
0.4989 0.1670 0.1670
0.5000 0.5000 0.5000
0.5000 0.0000 0.0000
0.0000 0.5000 0.0000
0.5000 0.5000 0.0000
0.5000 0.0000 0.5000
0.0000 0.0000 0.5000
0.0000 0.5000 0.5000
0.2005 0.7995 0.2005
0.7995 0.7995 0.2005
0.2005 0.7995 0.7995
0.7995 0.2005 0.7995
0.7995 0.2005 0.2005
0.2005 0.2005 0.7995
```

11.
Below is a crystal of Ba4Bi3F17 relaxed with PBEsol, with properties calculated at the SCAN level.

Output
Space-group type: P1
Crystal system: triclinic

The structure in POSCAR format:
```
Ba4Bi3F17
1.0
-8.5922 3.4393 1.5715
-5.8793 -4.4788 -5.8589
-4.7122 -6.4476 5.1284
F Bi Ba
34 6 8
direct
0.5057 0.6465 0.9589
0.3987 0.2844 0.8205
0.7409 0.6551 0.4538
0.6619 0.4463 0.7623
0.7396 0.9260 0.2103
0.8122 0.3942 0.2876
0.0750 0.7919 0.2603
0.4504 0.7444 0.6542
0.2118 0.7387 0.9186
0.2633 0.0842 0.7815
0.2951 0.8012 0.4024
0.9217 0.2152 0.7381
0.3435 0.5467 0.2576
0.0383 0.4949 0.3562
0.5568 0.2454 0.3379
0.5440 0.9813 0.8271
0.8613 0.8589 0.8626
0.6448 0.9570 0.5072
0.0193 0.1769 0.4537
0.0051 0.9999 0.9954
0.7902 0.2628 0.0737
0.4890 0.3560 0.0461
0.1380 0.1443 0.1365
0.9523 0.5137 0.6430
0.8230 0.5475 0.9791
0.1746 0.4575 0.0202
0.1967 0.5907 0.7068
0.3555 0.0462 0.4878
0.5522 0.4180 0.5369
0.7316 0.1566 0.6124
0.2557 0.3480 0.5491
0.9792 0.8268 0.5450
0.4523 0.0210 0.1751
0.6053 0.7030 0.1997
0.5326 0.8461 0.3854
0.4742 0.1785 0.6114
0.6157 0.4643 0.1603
0.1532 0.6155 0.4647
0.3853 0.5335 0.8389
0.8153 0.3843 0.5389
0.0592 0.3141 0.8821
0.8873 0.0630 0.3108
0.6904 0.1117 0.9420
0.2627 0.2699 0.2699
0.1099 0.9491 0.6883
0.9392 0.6900 0.1132
0.3061 0.8958 0.0510
0.7298 0.7371 0.7328
```

12.
Below is a crystal of CoH2W relaxed with PBEsol, with properties calculated at the SCAN level.

Output
Space-group type: Fm-3m
Crystal system: cubic

The structure in POSCAR format:
```
CoH2W
1.0
3.5173 0.0000 0.0000
1.7587 3.0461 0.0000
1.7587 1.0154 2.8719
W H Co
1 2 1
direct
0.5000 0.5000 0.5000
0.7500 0.7500 0.7500
0.2500 0.2500 0.2500
0.0000 0.0000 0.0000
```

no.,energy (eV/atom),density of states at the Fermi level (states/eV/atom)
1,-16.85,0.66
2,-47.01,0.75
3,-61.09,0.80
4,-12.09,0.66
5,-9.01,0.00
6,-30.40,0.66
7,-21.17,0.16
8,-29.67,0.96
9,-33.25,0.48
10,-15.83,0.81
11,-22.25,0.00
12,-22.70,0.70